CaPaGa6: optimized geometry, GGA-PBE.

The total energy comes out at -4.01 eV per atom. For the formation energy, the calculation gives -2.38 eV per formula unit. As for the crystal system: orthorhombic.

The space group is Pmm2 (No. 25) and the conventional cell measures 4.4077, 6.2424 and 5.8825 Å, with angles of 90.00, 90.00 and 90.00 degrees. The inequivalent atoms are Ca at (0.0000, 0.0000, 0.0000), Pa at (0.5000, 0.5000, 0.2405), Ga at (0.0000, 0.2527, 0.4732), Ga at (0.0000, 0.5000, 0.8936), Ga at (0.5000, 0.0000, 0.3723) and Ga at (0.5000, 0.2672, 0.7634).



Tb6Y3Cd: optimized geometry, GGA-PBE.

The total energy comes out at -4.75 eV per atom. For the formation energy, the calculation gives 0.58 eV per formula unit. As for the crystal system: orthorhombic.

The space group is Cmc2_1 (No. 36) and the conventional cell measures 7.3920, 18.2206 and 9.3332 Å, with angles of 90.00, 90.00 and 90.00 degrees. The inequivalent atoms are Tb at (0.0000, 0.0444, 0.0000), Tb at (0.0000, 0.2910, 0.1662), Tb at (0.2366, 0.0678, 0.6937), Tb at (0.2422, 0.3032, 0.4671), Y at (0.0000, 0.4611, 0.4917), Y at (0.2481, 0.3782, 0.8217) and Cd at (0.0000, 0.2220, 0.7010).



KBe2CuB: optimized geometry, GGA-PBE.

The total energy comes out at -0.94 eV per atom. For the formation energy, the calculation gives 14.65 eV per formula unit. As for the crystal system: tetragonal.

The space group is P4/mmm (No. 123) and the conventional cell measures 5.5660, 5.5660 and 5.3968 Å, with angles of 90.00, 90.00 and 90.00 degrees. The inequivalent atoms are K at (0.0000, 0.0000, 0.0000), Be at (0.0000, 0.5000, 0.0000), Cu at (0.0000, 0.0000, 0.5000) and B at (0.5000, 0.5000, 0.5000).



CePmEr2Tl4: optimized geometry, GGA-PBE.

The total energy comes out at -3.97 eV per atom. For the formation energy, the calculation gives -2.46 eV per formula unit. As for the crystal system: trigonal.

The space group is R-3m (No. 166, hexagonal axes) and the conventional cell measures 5.4135, 5.4135 and 26.6116 Å, with angles of 90.00, 90.00 and 120.00 degrees. The inequivalent atoms are Ce at (0.0000, 0.0000, 0.0000), Pm at (0.0000, 0.0000, 0.5000), Er at (0.0000, 0.0000, 0.2499), Tl at (0.0000, 0.0000, 0.1252) and Tl at (0.0000, 0.0000, 0.3754).



Cs4LiPu3O8: optimized geometry, GGA-PBE.

The total energy comes out at -7.70 eV per atom. As for the crystal system: trigonal. The formation energy from raw total energies comes out at -2.201 eV per atom.

The space group is R-3m (No. 166, hexagonal axes) and the conventional cell measures 7.1745, 7.1745 and 20.5294 Å, with angles of 90.00, 90.00 and 120.00 degrees. The inequivalent atoms are Cs at (0.0000, 0.0000, 0.0000), Cs at (0.0000, 0.5000, 0.0000), Li at (0.0000, 0.0000, 0.5000), Pu at (0.0000, 0.5000, 0.5000), O at (0.0000, 0.0000, 0.2239) and O at (0.0280, 0.5140, 0.7799).



Nd5Ag2Pt: optimized geometry, GGA-PBE.

The energy above the most stable polymorph in this dataset comes out at 0 meV/atom. The total energy comes out at -4.81 eV per atom. For the formation energy, the calculation gives -2.89 eV per formula unit. As for the crystal system: tetragonal.

The space group is I4/mcm (No. 140) and the conventional cell measures 7.4631, 7.4631 and 16.3293 Å, with angles of 90.00, 90.00 and 90.00 degrees. The inequivalent atoms are Nd at (0.0000, 0.0000, 0.0000), Nd at (0.1720, 0.3280, 0.1559), Ag at (0.1280, 0.3720, 0.5000) and Pt at (0.0000, 0.0000, 0.2500).



PmCuI6: optimized geometry, GGA-PBE.

The total energy comes out at -2.89 eV per atom. As for the crystal system: triclinic. The formation energy from raw total energies comes out at -0.617 eV per atom.

The space group is P-1 (No. 2) and the conventional cell measures 6.2459, 7.8151 and 8.5181 Å, with angles of 71.59, 74.23 and 85.31 degrees. The inequivalent atoms are Pm at (0.0000, 0.0000, 0.0000), Cu at (0.5000, 0.5000, 0.0000), I at (0.0224, 0.8171, 0.3648), I at (0.2734, 0.3676, 0.8433) and I at (0.4269, 0.8174, 0.8187).



NbNi9Sn2: optimized geometry, GGA-PBE.

The total energy comes out at -6.07 eV per atom. For the formation energy, the calculation gives -2.68 eV per formula unit. As for the crystal system: tetragonal.

The space group is P4/mmm (No. 123) and the conventional cell measures 3.7209, 3.7209 and 11.1206 Å, with angles of 90.00, 90.00 and 90.00 degrees. The inequivalent atoms are Nb at (0.0000, 0.0000, 0.0000), Ni at (0.0000, 0.5000, 0.1600), Ni at (0.0000, 0.5000, 0.5000), Ni at (0.5000, 0.5000, 0.0000), Ni at (0.5000, 0.5000, 0.3301) and Sn at (0.0000, 0.0000, 0.3333).



Dy5Ho3Sc3: optimized geometry, GGA-PBE.

The total energy comes out at -4.70 eV per atom. For the formation energy, the calculation gives 4.00 eV per formula unit. As for the crystal system: hexagonal.

The space group is P-62m (No. 189) and the conventional cell measures 10.7799, 10.7799 and 3.3742 Å, with angles of 90.00, 90.00 and 120.00 degrees. The inequivalent atoms are Dy at (0.0000, 0.1652, 0.0000), Dy at (0.3333, 0.6667, 0.0000), Ho at (0.0000, 0.6536, 0.0000) and Sc at (0.0000, 0.4082, 0.5000).



Ba2YHgO: optimized geometry, GGA-PBE.

The total energy comes out at -4.32 eV per atom. As for the crystal system: tetragonal. The formation energy from raw total energies comes out at -1.208 eV per atom.

The space group is P4/mmm (No. 123) and the conventional cell measures 5.9329, 5.9329 and 4.4403 Å, with angles of 90.00, 90.00 and 90.00 degrees. The inequivalent atoms are Ba at (0.0000, 0.5000, 0.0000), Y at (0.0000, 0.0000, 0.5000), Hg at (0.5000, 0.5000, 0.5000) and O at (0.0000, 0.0000, 0.0000).



NbSi2F: optimized geometry, GGA-PBE.

The energy above the most stable polymorph in this dataset comes out at 0 meV/atom. The total energy comes out at -5.94 eV per atom. As for the crystal system: tetragonal. The formation energy from raw total energies comes out at -0.241 eV per atom.

The space group is I-42d (No. 122) and the conventional cell measures 7.0246, 7.0246 and 4.6697 Å, with angles of 90.00, 90.00 and 90.00 degrees. The inequivalent atoms are Nb at (0.0000, 0.0000, 0.0000), Si at (0.2136, 0.2500, 0.6250) and F at (0.0000, 0.0000, 0.5000).



HoHgRh: optimized geometry, GGA-PBE.

The total energy comes out at -4.57 eV per atom. For the formation energy, the calculation gives -1.46 eV per formula unit. As for the crystal system: cubic.

The space group is F-43m (No. 216) and the conventional cell measures 6.5627, 6.5627 and 6.5627 Å, with angles of 90.00, 90.00 and 90.00 degrees. The inequivalent atoms are Ho at (0.0000, 0.0000, 0.0000), Hg at (0.0000, 0.0000, 0.5000) and Rh at (0.2500, 0.2500, 0.7500).



SmTmLu: optimized geometry, GGA-PBE.

The energy above the most stable polymorph in this dataset comes out at 55 meV/atom. The total energy comes out at -4.49 eV per atom. For the formation energy, the calculation gives 0.25 eV per formula unit. As for the crystal system: trigonal.

The space group is P3m1 (No. 156) and the conventional cell measures 5.5948, 5.5948 and 3.4201 Å, with angles of 90.00, 90.00 and 120.00 degrees. The inequivalent atoms are Sm at (0.0000, 0.0000, 0.0000), Tm at (0.3333, 0.6667, 0.4991) and Lu at (0.6667, 0.3333, 0.5011).



Cs4SiTe4: optimized geometry, GGA-PBE.

The energy above the most stable polymorph in this dataset comes out at 16 meV/atom. The total energy comes out at -3.24 eV per atom. As for the crystal system: tetragonal. The formation energy from raw total energies comes out at -0.864 eV per atom.

The space group is P4_2/nmc (No. 137, origin choice 2) and the conventional cell measures 10.6882, 10.6882 and 7.9549 Å, with angles of 90.00, 90.00 and 90.00 degrees. The inequivalent atoms are Cs at (0.0220, 0.2500, 0.0830), Si at (0.2500, 0.7500, 0.2500) and Te at (0.0493, 0.7500, 0.4250).



GdAl3Co: optimized geometry, GGA-PBE.

The total energy comes out at -6.86 eV per atom. For the formation energy, the calculation gives -1.89 eV per formula unit. As for the crystal system: cubic.

The space group is Pm-3m (No. 221) and the conventional cell measures 4.5168, 4.5168 and 4.5168 Å, with angles of 90.00, 90.00 and 90.00 degrees. The inequivalent atoms are Gd at (0.0000, 0.0000, 0.0000), Al at (0.0000, 0.5000, 0.5000) and Co at (0.5000, 0.5000, 0.5000).



LaSc2Te: optimized geometry, GGA-PBE.

The total energy comes out at -5.64 eV per atom. As for the crystal system: monoclinic. The formation energy from raw total energies comes out at -0.458 eV per atom.

The space group is P2/m (No. 10) and the conventional cell measures 5.4748, 3.6611 and 5.5642 Å, with angles of 90.00, 108.43 and 90.00 degrees. The inequivalent atoms are La at (0.0000, 0.0000, 0.0000), Sc at (0.5000, 0.0000, 0.5000), Sc at (0.5000, 0.5000, 0.0000) and Te at (0.0000, 0.5000, 0.5000).



ZrPb2Br: optimized geometry, GGA-PBE.

The energy above the most stable polymorph in this dataset comes out at 392 meV/atom. The total energy comes out at -4.36 eV per atom. As for the crystal system: orthorhombic. The formation energy from raw total energies comes out at 0.050 eV per atom.

The space group is Pmmm (No. 47) and the conventional cell measures 3.4051, 5.5974 and 5.6016 Å, with angles of 90.00, 90.00 and 90.00 degrees. The inequivalent atoms are Zr at (0.0000, 0.0000, 0.0000), Pb at (0.0000, 0.5000, 0.5000), Pb at (0.5000, 0.0000, 0.5000) and Br at (0.5000, 0.5000, 0.0000).



Cs2Tl2Sn: optimized geometry, GGA-PBE.

The energy above the most stable polymorph in this dataset comes out at 116 meV/atom. The total energy comes out at -2.14 eV per atom. For the formation energy, the calculation gives -0.25 eV per formula unit. As for the crystal system: tetragonal.

The space group is P4/mbm (No. 127) and the conventional cell measures 8.2269, 8.2269 and 6.4390 Å, with angles of 90.00, 90.00 and 90.00 degrees. The inequivalent atoms are Cs at (0.1813, 0.3187, 0.0000), Tl at (0.1362, 0.6362, 0.5000) and Sn at (0.0000, 0.0000, 0.5000).



LaHfAg: optimized geometry, GGA-PBE.

The energy above the most stable polymorph in this dataset comes out at 82 meV/atom. The total energy comes out at -5.86 eV per atom. For the formation energy, the calculation gives 0.14 eV per formula unit. As for the crystal system: orthorhombic.

The space group is Pnma (No. 62) and the conventional cell measures 7.1341, 3.4304 and 12.1104 Å, with angles of 90.00, 90.00 and 90.00 degrees. The inequivalent atoms are La at (0.1355, 0.2500, 0.0865), Hf at (0.0901, 0.2500, 0.4049) and Ag at (0.1470, 0.2500, 0.7694).



ThGaRh: optimized geometry, GGA-PBE.

The total energy comes out at -6.70 eV per atom. For the formation energy, the calculation gives -2.29 eV per formula unit. As for the crystal system: trigonal.

The space group is R3m (No. 160, hexagonal axes) and the conventional cell measures 4.4388, 4.4388 and 23.5285 Å, with angles of 90.00, 90.00 and 120.00 degrees. The inequivalent atoms are Th at (0.0000, 0.0000, 0.0000), Th at (0.0000, 0.0000, 0.1545), Ga at (0.0000, 0.0000, 0.5789), Ga at (0.0000, 0.0000, 0.7399), Rh at (0.0000, 0.0000, 0.4113) and Rh at (0.0000, 0.0000, 0.8833).



HoAlZnIr: optimized geometry, GGA-PBE.

The total energy comes out at -5.14 eV per atom. For the formation energy, the calculation gives -2.10 eV per formula unit. As for the crystal system: cubic.

The space group is F-43m (No. 216) and the conventional cell measures 6.5435, 6.5435 and 6.5435 Å, with angles of 90.00, 90.00 and 90.00 degrees. The inequivalent atoms are Ho at (0.0000, 0.0000, 0.0000), Al at (0.0000, 0.0000, 0.5000), Zn at (0.2500, 0.2500, 0.2500) and Ir at (0.2500, 0.2500, 0.7500).



NiHgMo: optimized geometry, GGA-PBE.

The energy above the most stable polymorph in this dataset comes out at 298 meV/atom. The total energy comes out at -5.10 eV per atom. For the formation energy, the calculation gives 1.63 eV per formula unit. As for the crystal system: cubic.

The space group is F-43m (No. 216) and the conventional cell measures 5.9067, 5.9067 and 5.9067 Å, with angles of 90.00, 90.00 and 90.00 degrees. The inequivalent atoms are Ni at (0.0000, 0.0000, 0.0000), Hg at (0.2500, 0.2500, 0.2500) and Mo at (0.2500, 0.2500, 0.7500).



La4GaGe2: optimized geometry, GGA-PBE.

The energy above the most stable polymorph in this dataset comes out at 0 meV/atom. The total energy comes out at -5.26 eV per atom. For the formation energy, the calculation gives -4.83 eV per formula unit. As for the crystal system: tetragonal.

The space group is I-42d (No. 122) and the conventional cell measures 9.3649, 9.3649 and 9.3614 Å, with angles of 90.00, 90.00 and 90.00 degrees. The inequivalent atoms are La at (0.0714, 0.6785, 0.4426), Ga at (0.0000, 0.0000, 0.5000) and Ge at (0.1264, 0.7500, 0.1250).



MnCoCuRu: optimized geometry, GGA-PBE.

The total energy comes out at -7.17 eV per atom. For the formation energy, the calculation gives 0.98 eV per formula unit. As for the crystal system: cubic.

The space group is F-43m (No. 216) and the conventional cell measures 5.9282, 5.9282 and 5.9282 Å, with angles of 90.00, 90.00 and 90.00 degrees. The inequivalent atoms are Mn at (0.0000, 0.0000, 0.0000), Co at (0.2500, 0.2500, 0.2500), Cu at (0.2500, 0.2500, 0.7500) and Ru at (0.0000, 0.0000, 0.5000).